1.
Er3Pu5S12 | PBE | optimized geometry

Output
Its energy relative to the elements, uncorrected is -1493 meV/atom. Its crystal system is cubic.

a b c (Å): 13.8953 13.8953 13.8953
angles (deg): 109.47 109.47 109.47
Atoms (fractional coordinates):
1 S 0.9456 0.5768 0.1731
2 S 0.5963 0.8689 0.4232
3 S 0.0544 0.4232 0.8269
4 S 0.2726 0.4037 0.8269
5 S 0.8689 0.2726 0.4456
6 S 0.8689 0.5963 0.9232
7 S 0.9232 0.8269 0.5544
8 S 0.2274 0.5544 0.6311
9 S 0.9456 0.3689 0.2726
10 S 0.0963 0.1731 0.2274
11 S 0.0963 0.9232 0.3689
12 S 0.3269 0.5544 0.4232
13 S 0.4037 0.1311 0.5768
14 S 0.8269 0.9232 0.0544
15 S 0.0768 0.9037 0.1311
16 S 0.1731 0.0768 0.9456
17 S 0.5768 0.6311 0.4037
18 S 0.5544 0.3269 0.9232
19 S 0.0544 0.6311 0.7274
20 S 0.5544 0.2274 0.1311
21 S 0.9037 0.8269 0.7726
22 S 0.5768 0.9456 0.6731
23 S 0.7274 0.1311 0.0544
24 S 0.8269 0.9037 0.2726
25 S 0.7726 0.4456 0.3689
26 S 0.3689 0.9456 0.7726
27 S 0.4232 0.3689 0.5963
28 S 0.4232 0.0544 0.3269
29 S 0.3689 0.4232 0.0963
30 S 0.1311 0.7274 0.5544
31 S 0.6731 0.4456 0.5768
32 S 0.4037 0.2726 0.3269
33 S 0.7726 0.3269 0.9037
34 S 0.4456 0.7726 0.8689
35 S 0.7274 0.5963 0.1731
36 S 0.6731 0.2274 0.5963
37 S 0.0768 0.1731 0.4456
38 S 0.9037 0.0768 0.6311
39 S 0.6311 0.5768 0.9037
40 S 0.9232 0.0963 0.8689
41 S 0.4456 0.6731 0.0768
42 S 0.2726 0.8689 0.9456
43 S 0.6311 0.0544 0.2274
44 S 0.2274 0.6731 0.0963
45 S 0.1731 0.0963 0.7274
46 S 0.1311 0.4037 0.0768
47 S 0.3269 0.7726 0.4037
48 S 0.5963 0.7274 0.6731
49 Er 0.3750 0.6250 0.2500
50 Er 0.8750 0.1250 0.2500
51 Er 0.2500 0.6250 0.8750
52 Er 0.2500 0.1250 0.3750
53 Er 0.6250 0.3750 0.7500
54 Er 0.3750 0.7500 0.6250
55 Er 0.6250 0.2500 0.3750
56 Er 0.7500 0.3750 0.1250
57 Er 0.1250 0.2500 0.8750
58 Er 0.8750 0.7500 0.1250
59 Er 0.7500 0.8750 0.6250
60 Er 0.1250 0.8750 0.7500
61 Pu 0.3750 0.1250 0.7500
62 Pu 0.0000 0.0000 0.0000
63 Pu 0.8750 0.2500 0.6250
64 Pu 0.2500 0.8750 0.1250
65 Pu 0.0000 0.0000 0.5000
66 Pu 0.7500 0.1250 0.8750
67 Pu 0.5000 0.5000 0.5000
68 Pu 0.1250 0.3750 0.2500
69 Pu 0.5000 0.5000 0.0000
70 Pu 0.7500 0.6250 0.3750
71 Pu 0.1250 0.7500 0.3750
72 Pu 0.2500 0.3750 0.6250
73 Pu 0.6250 0.8750 0.2500
74 Pu 0.5000 0.0000 0.5000
75 Pu 0.0000 0.5000 0.0000
76 Pu 0.3750 0.2500 0.1250
77 Pu 0.6250 0.7500 0.8750
78 Pu 0.8750 0.6250 0.7500
79 Pu 0.0000 0.5000 0.5000
80 Pu 0.5000 0.0000 0.0000


2.
Dy4HgAu3 | PBE | optimized geometry

Output
The formation energy comes out at -760 meV per atom. For the energy above the lowest structure with this stoichiometry, the calculation gives 0.3 kJ/mol of atoms. Its crystal system is orthorhombic.

a b c (Å): 3.6185 5.1408 10.2826
angles (deg): 90.00 90.00 90.00
Atoms (fractional coordinates):
1 Hg 0.5000 0.5000 0.0000
2 Au 0.5000 0.0000 0.2459
3 Au 0.5000 0.5000 0.5000
4 Au 0.5000 0.0000 0.7541
5 Dy 0.0000 0.5000 0.7421
6 Dy 0.0000 0.0000 0.0000
7 Dy 0.0000 0.0000 0.5000
8 Dy 0.0000 0.5000 0.2579


3.
CdGaCuPb2 | PBE | optimized geometry

Output
The formation energy comes out at 763 meV per atom. Its crystal system is tetragonal.

a b c (Å): 5.7262 5.0129 5.7262
angles (deg): 90.00 90.00 90.00
Atoms (fractional coordinates):
1 Cu 0.5000 0.5000 0.5000
2 Cd 0.0000 0.0000 0.0000
3 Pb 0.0000 0.0000 0.5000
4 Pb 0.5000 0.0000 0.0000
5 Ga 0.0000 0.5000 0.0000


Number 1: volume 2065 Å³ per cell. Number 2: volume 191 Å³ per cell. Number 3: volume 164 Å³ per cell.